# V2Co2Au

Crystalline V2Co2Au at its relaxed geometry (PBE, the Alexandria database).

abc: 3.882 3.882 5.404
angles: 68.95 68.95 90.00
Fractional positions:
Au: 0.000 0.000 0.000
Co: 0.381 0.381 0.238
Co: 0.619 0.619 0.762
V: 0.750 0.250 0.500
V: 0.250 0.750 0.500

* total DFT energy (no corrections): -35.34 eV for the cell shown
* distance to the lowest polymorph of the same formula: 0.173 eV per atom

# VCo2Au2

Crystalline VCo2Au2 at its relaxed geometry (PBE, the Alexandria database).

abc: 6.029 6.029 4.010
angles: 90.00 90.00 90.00
Last column: magnetic moment on the atom in μB.
Fractional positions:
Au: 0.173 0.673 0.500  0.01
Au: 0.673 0.827 0.500  0.01
Au: 0.827 0.327 0.500  0.01
Au: 0.327 0.173 0.500  0.01
Co: 0.369 0.869 0.000  1.03
Co: 0.869 0.631 0.000  1.03
Co: 0.631 0.131 0.000  1.03
Co: 0.131 0.369 0.000  1.03
V: 0.000 0.000 0.000  -1.17
V: 0.500 0.500 0.000  -1.17

* total DFT energy (no corrections): -57.65 eV for the cell shown

# VCoAu2

Crystalline VCoAu2 at its relaxed geometry (PBE, the Alexandria database).

abc: 4.438 4.438 4.438
angles: 60.00 60.00 60.00
Last column: magnetic moment on the atom in μB.
Fractional positions:
Au: 0.250 0.250 0.250  -0.06
Au: 0.750 0.750 0.750  -0.06
Co: 0.500 0.500 0.500  1.62
V: 0.000 0.000 0.000  -1.81

* total DFT energy (no corrections): -22.03 eV for the cell shown
* distance to the lowest polymorph of the same formula: 0.000 eV per atom

no.,size of the total moment (μB per formula unit)
1,0.0
2,0.8
3,0.6